Computed, not measured: a relaxed structure of LaCrIr2 at the GGA-PBE level of DFT.

Output
- Offset from the most stable computed form: 0.3689 eV per atom
- Energy of formation from the pure elements: 0.14 eV/atom
- Mass density: 10.122 Mg/m³
- V: 188.8 Å³/cell
- Final energy: -7.9244 eV/atom
- SG: I-42d (122)

Cell: 8.557 8.557 8.557 Å, 146.63 146.63 47.91°
Element x y z (fractional)
La 0.000 0.000 0.000
La 0.750 0.250 0.500
Cr 0.250 0.750 0.500
Cr 0.500 0.500 0.000
Ir 0.306 0.625 0.181
Ir 0.375 0.556 0.681
Ir 0.444 0.125 0.819
Ir 0.875 0.694 0.319